1.
Entry from Alexandria via LeMat-Bulk: an optimized crystal structure of Nd3Ni6Sb5 (PBE).

```
Nd3Ni6Sb5
1.0
4.310 0.000 0.000
0.000 9.973 0.000
0.000 0.000 12.873
Nd Ni Sb
6 12 10
Cartesian
0.000 2.490 8.631
2.155 7.483 2.194
2.155 7.483 10.678
0.000 2.389 0.000
2.155 7.584 6.436
0.000 2.490 4.242
0.000 9.968 10.751
2.155 0.005 8.558
2.155 3.884 10.602
2.155 4.959 0.000
0.000 5.014 6.436
0.000 6.089 8.707
0.000 6.089 4.166
2.155 9.917 0.000
0.000 9.968 2.121
2.155 3.884 2.271
0.000 0.056 6.436
2.155 0.005 4.315
0.000 5.123 11.158
0.000 8.625 8.583
0.000 8.540 0.000
2.155 4.850 8.151
2.155 1.433 6.436
0.000 5.123 1.714
2.155 4.850 4.722
0.000 8.625 4.289
2.155 1.348 10.726
2.155 1.348 2.147
```

Calculated values
- ΔE_f (raw): -0.65 eV/atom
- N(E_F): 8.9 states/eV/f.u.
- SG: No. 59
- V: 553 Å³/cell
- Total DFT energy (no corrections): -157.5 eV for the cell shown


2.
Entry from Alexandria via LeMat-Bulk: an optimized crystal structure of Zr2TiIn (PBE).

```
Zr2TiIn
1.0
3.193 0.000 0.000
1.596 2.765 0.000
1.596 0.922 9.941
Ti Zr In
1 2 1
Cartesian
0.000 0.000 0.000
1.596 0.922 2.375
4.789 2.765 7.566
3.193 1.843 4.970
```

Calculated values
- N(E_F): 4.7 states/eV/f.u.
- SG: No. 166
- V: 88 Å³/cell
- Total DFT energy (no corrections): -27.8 eV for the cell shown


3.
Entry from Alexandria via LeMat-Bulk: an optimized crystal structure of Tb2Ce3YSb6 (PBE).

```
Tb2Ce3YSb6
1.0
-6.516 2.705 -3.105
-0.303 -4.752 6.062
2.505 6.389 3.500
Tb Ce Y Sb
2 3 1 6
Cartesian
-2.375 -2.265 3.005
-4.444 0.218 -0.048
-0.087 -0.313 6.282
-4.227 4.656 0.174
-2.157 2.171 3.228
0.000 0.000 0.000
-4.270 4.530 3.341
-4.492 0.032 3.070
-0.044 -0.187 3.115
-2.201 2.046 6.394
0.178 4.311 3.386
-2.113 2.296 0.062
```

Calculated values
- ΔE_f (raw): -1.10 eV/atom
- N(E_F): 19.9 states/eV/f.u.
- SG: No. 12
- V: 374 Å³/cell
- Total DFT energy (no corrections): -71.5 eV for the cell shown


4.
Entry from Alexandria via LeMat-Bulk: an optimized crystal structure of As2HPbO6 (PBE).

```
As2HPbO6
1.0
6.444 0.671 0.696
2.875 7.251 0.271
2.875 0.002 7.256
As H Pb O
4 2 2 12
Cartesian
6.646 5.677 4.981
2.326 2.821 2.018
5.548 2.247 3.242
9.868 5.103 6.206
4.486 2.214 5.461
7.708 5.711 2.763
4.486 6.585 1.249
7.708 1.339 6.975
6.342 6.773 6.300
2.631 1.544 0.873
5.853 1.151 1.924
9.564 6.380 7.351
6.900 6.373 3.419
8.517 5.080 2.077
5.295 1.551 4.805
3.677 2.845 6.147
4.968 4.896 4.675
4.004 3.099 2.809
7.226 3.028 3.549
8.190 4.825 5.415
```

Calculated values
- N(E_F): 1.8 states/eV/f.u.
- SG: No. 15
- V: 311 Å³/cell
- Total DFT energy (no corrections): -112.9 eV for the cell shown


5.
Entry from Alexandria via LeMat-Bulk: an optimized crystal structure of ThMn10Cr2 (PBE).

```
ThMn10Cr2
1.0
-5.004 -3.950 0.680
0.292 -0.219 -6.401
5.029 -6.294 0.445
Th Mn Cr
2 20 4
Cartesian
-0.628 -8.245 0.206
0.946 -2.218 -5.482
1.900 -6.253 -0.184
-1.582 -4.210 -5.092
-0.444 -8.327 -3.030
0.761 -2.136 -2.246
1.356 -6.959 -4.027
-1.039 -3.504 -1.248
2.595 -5.863 -2.523
-2.278 -4.600 -2.753
-2.076 -5.751 -0.419
3.829 -6.509 -4.730
-3.512 -3.954 -0.546
2.394 -4.712 -4.857
1.776 -8.305 -1.730
0.334 -4.402 -3.387
-0.017 -6.061 -1.889
-1.458 -2.158 -3.546
-3.608 -3.192 -4.381
1.411 -4.123 -1.117
-1.103 -0.976 -1.340
-1.094 -6.340 -4.159
-2.502 -1.975 0.340
0.012 -5.122 0.562
2.661 -3.256 -2.978
0.146 -0.109 -3.200
```

Calculated values
- N(E_F): 14.8 states/eV/f.u.
- SG: No. 63
- V: 329 Å³/cell
- Total DFT energy (no corrections): -235.5 eV for the cell shown


6.
Entry from Alexandria via LeMat-Bulk: an optimized crystal structure of Sm2TlTe (PBE).

```
Sm2TlTe
1.0
4.154 0.000 0.000
2.077 3.598 0.000
2.077 1.199 8.516
Sm Tl Te
2 1 1
Cartesian
2.077 1.199 6.528
2.077 1.199 1.993
4.154 2.398 4.276
6.231 3.598 8.494
```

Calculated values
- ΔE_f (raw): -0.78 eV/atom
- N(E_F): 3.8 states/eV/f.u.
- SG: No. 160
- V: 127 Å³/cell
- Total DFT energy (no corrections): -18.0 eV for the cell shown